FeBi3O7 after structural relaxation, computed with PBE+U.

Cell lengths 6.5776, 6.5776, 7.5183 Å; angles 90.00, 90.00, 107.38 degrees
Last column: nearest neighbours and their distance in Å.
Element x y z (fractional)
O (0.6798, 0.9481, 0.5391)  1 Fe 2.02
O (0.6468, 0.3532, 0.2500)  4 Bi 2.22-2.46
O (0.9261, 0.0739, 0.2500)  2 Fe 2.04
O (0.3202, 0.0519, 0.0391)  1 Fe 2.02
O (0.6419, 0.3581, 0.7500)  4 Bi 2.30-2.43
O (0.0519, 0.3202, 0.9609)  1 Fe 2.02
O (0.0877, 0.3282, 0.5357)  1 Fe 2.11, 2 Bi 2.26-2.35
O (0.3282, 0.0877, 0.4643)  1 Fe 2.11, 2 Bi 2.26-2.35
O (0.9481, 0.6798, 0.4609)  1 Fe 2.02
O (0.3532, 0.6468, 0.7500)  4 Bi 2.22-2.46
O (0.0739, 0.9261, 0.7500)  2 Fe 2.04
O (0.9123, 0.6718, 0.0357)  1 Fe 2.11, 2 Bi 2.26-2.35
O (0.6718, 0.9123, 0.9643)  1 Fe 2.11, 2 Bi 2.26-2.35
O (0.3581, 0.6419, 0.2500)  4 Bi 2.30-2.43
Bi (0.0001, 0.5401, 0.7400)  6 O 2.22-2.44
Bi (0.5401, 0.0001, 0.2600)  6 O 2.22-2.44
Bi (0.4599, 0.9999, 0.7600)  6 O 2.22-2.44
Bi (0.4587, 0.4587, 0.5000)  6 O 2.35-2.46
Bi (0.5413, 0.5413, 0.0000)  6 O 2.35-2.46
Bi (0.9999, 0.4599, 0.2400)  6 O 2.22-2.44
Fe (0.9946, 0.9946, 0.5000)  6 O 2.02-2.11
Fe (0.0054, 0.0054, 0.0000)  6 O 2.02-2.11

Computed properties:
**M_tot**: 4.29 μB per formula unit
**N(E_F)**: 7.44 states/eV/cell
**Uncorrected energy**: -128.84 eV for the cell shown